Material: GdScGeH
Method: DFT, PBE
State: relaxed

Output
Total magnetization ... 0.1 μB/f.u.
Calculated total energy ... -5.46 eV per atom

Lattice parameters (Å, degrees): 4.155 4.155 16.438 90.00 90.00 90.00
Space group I4/mmm (No. 139)
Unique sites:
Gd  0.000  0.000  0.183
Sc  0.000  0.500  0.000
Ge  0.000  0.000  0.384
H  0.000  0.500  0.250